No. 1
# Np3In

A relaxed Np3In crystal (PBE-GGA, the Alexandria database).

Unit cell a=4.6114 b=4.6114 c=4.6114 alpha=90.00 beta=90.00 gamma=90.00
With the nearest neighbours (Å) after each atom.
Space group Pm-3m (No. 221)
Symmetry-distinct sites (fractional):
Np (0.0000, 0.0000, 0.5000) x3  4 In 3.26, 8 Np 3.26
In (0.5000, 0.5000, 0.5000) x1  12 Np 3.26

Summary:
* uncorrected energy: -9.94 eV per atom


No. 2
# Dy5Ho2Tm3

A relaxed Dy5Ho2Tm3 crystal (PBE-GGA, the Alexandria database).

Unit cell a=12.6656 b=16.7682 c=6.2053 alpha=90.00 beta=90.00 gamma=90.00
With the nearest neighbours (Å) after each atom.
Space group Ibam (No. 72)
Symmetry-distinct sites (fractional):
Dy (0.0000, 0.0000, 0.2500) x4  8 Dy 3.10-3.31
Dy (0.0998, 0.1572, 0.0000) x8  1 Ho 3.12, 2 Dy 3.31, 1 Tm 3.43
Dy (0.2489, 0.5000, 0.2500) x8  3 Dy 3.10-3.18, 1 Tm 3.15
Ho (0.0977, 0.3430, 0.0000) x8  1 Dy 3.12, 3 Tm 3.30-3.43
Tm (0.0000, 0.5000, 0.2500) x4  2 Tm 3.10, 2 Dy 3.15, 4 Ho 3.30
Tm (0.1600, 0.2489, 0.5000) x8  4 Dy 3.43-3.63, 4 Ho 3.43-3.63

Summary:
* uncorrected energy: -4.20 eV per atom
* relative energy among the computed polymorphs: 0.1595 eV per atom


No. 3
# La6Nd5Tm

A relaxed La6Nd5Tm crystal (PBE-GGA, the Alexandria database).

Unit cell a=12.1705 b=11.0990 c=6.4120 alpha=90.00 beta=100.05 gamma=90.00
With the nearest neighbours (Å) after each atom.
Space group C2/m (No. 12)
Symmetry-distinct sites (fractional):
La (0.2485, 0.1659, 0.2488) x8  5 Nd 3.66-3.71, 1 Tm 3.66, 6 La 3.67-3.72
La (0.2485, 0.0000, 0.7531) x4  1 Tm 3.65, 5 Nd 3.67-3.71, 6 La 3.67-3.72
Nd (0.0000, 0.1654, 0.5000) x4  6 La 3.67-3.71, 4 Nd 3.67-3.71, 2 Tm 3.69
Nd (0.0000, 0.3317, 0.0000) x4  6 La 3.66-3.70, 1 Tm 3.68, 5 Nd 3.70-3.74
Nd (0.0000, 0.5000, 0.5000) x2  6 La 3.69-3.71, 6 Nd 3.71
Tm (0.0000, 0.0000, 0.0000) x2  6 La 3.65-3.66, 6 Nd 3.68-3.69

Summary:
* uncorrected energy: -4.81 eV per atom
* relative energy among the computed polymorphs: 0.0000 eV per atom


No. 4
# Ba5W3

A relaxed Ba5W3 crystal (PBE-GGA, the Alexandria database).

Unit cell a=11.8335 b=12.1701 c=4.3859 alpha=90.00 beta=90.00 gamma=90.00
With the nearest neighbours (Å) after each atom.
Space group Cmmm (No. 65)
Symmetry-distinct sites (fractional):
Ba (0.0000, 0.0000, 0.0000) x2  4 Ba 3.71
Ba (0.2472, 0.5000, 0.5000) x4  2 W 3.22
Ba (0.2500, 0.2500, 0.0000) x4  4 Ba 3.75, 4 W 4.06
W (0.0000, 0.3903, 0.5000) x4  3 W 2.57-2.67
W (0.0000, 0.5000, 0.0000) x2  4 W 2.57

Summary:
* uncorrected energy: -5.05 eV per atom
* relative energy among the computed polymorphs: 0.0603 eV per atom


No. 5
# GdDy2Au

A relaxed GdDy2Au crystal (PBE-GGA, the Alexandria database).

Unit cell a=3.6669 b=3.6669 c=30.2038 alpha=90.00 beta=90.00 gamma=120.00
With the nearest neighbours (Å) after each atom.
Space group R-3m (No. 166, hexagonal axes)
Symmetry-distinct sites (fractional):
Gd (0.0000, 0.0000, 0.0000) x3  6 Dy 3.61, 6 Gd 3.67
Dy (0.0000, 0.0000, 0.2365) x6  3 Au 2.99
Au (0.0000, 0.0000, 0.5000) x3  6 Dy 2.99

Summary:
* uncorrected energy: -6.91 eV per atom
* relative energy among the computed polymorphs: 0.1226 eV per atom


No. 6
# Tm2CdBi

A relaxed Tm2CdBi crystal (PBE-GGA, the Alexandria database).

Unit cell a=4.2278 b=4.2278 c=23.1336 alpha=90.00 beta=90.00 gamma=120.00
With the nearest neighbours (Å) after each atom.
Space group R-3m (No. 166, hexagonal axes)
Symmetry-distinct sites (fractional):
Tm (0.0000, 0.0000, 0.2476) x6  3 Bi 3.08, 3 Cd 3.15
Cd (0.0000, 0.0000, 0.0000) x3  6 Tm 3.15
Bi (0.0000, 0.0000, 0.5000) x3  6 Tm 3.08

Summary:
* uncorrected energy: -3.76 eV per atom
* relative energy among the computed polymorphs: 0.0967 eV per atom


no.,ΔE_f (eV/atom)
1,0.45
2,0.36
3,0.01
4,1.01
5,-0.27
6,-0.32